Density functional theory data (PBE) for a relaxed structure of U2NbIr9.

Geometry as extended XYZ:
```
12
Lattice="-0.327 -3.850 1.073 3.937 -0.495 -0.578 2.062 3.019 11.458" Properties=species:S:1:pos:R:3 pbc="T T T"
U 1.379 2.020 7.666
Ir 2.999 1.262 5.440
Ir 0.167 -1.441 2.374
Ir 2.484 -1.178 4.023
Nb 0.000 0.000 0.000
Ir 0.867 -0.415 6.266
Ir 1.805 -2.173 0.248
Ir 2.299 0.237 1.548
Ir 3.700 2.287 9.332
Ir 3.188 -0.148 7.931
U 0.682 0.999 3.792
Ir 1.568 0.610 10.157
```

Properties
- DFT formation energy: -0.601 eV/atom
- Size of the total moment: 0.000 μB per atom
- E: -119.6 eV for the cell shown
- SG: No. 123
- DOS at the Fermi energy: 7.69 states/eV per cell


Density functional theory data (PBE) for a relaxed structure of CrFeOs2.

Geometry as extended XYZ:
```
4
Lattice="-0.351 -0.003 2.641 -1.726 -2.017 -0.232 5.444 -4.742 0.718" Properties=species:S:1:pos:R:3 pbc="T T T"
Os 5.371 -4.679 0.708
Cr 2.794 -2.434 0.368
Fe 3.004 -4.531 1.738
Os 0.365 -2.232 1.390
```

Properties
- DFT formation energy: 0.172 eV/atom
- Size of the total moment: 0.105 μB per atom
- E: -39.9 eV for the cell shown
- SG: No. 99
- DOS at the Fermi energy: 4.59 states/eV per cell


Density functional theory data (PBE) for a relaxed structure of Zn2HgPt.

Geometry as extended XYZ:
```
4
Lattice="9.359 0.065 0.038 8.871 2.984 0.038 8.871 1.484 2.589" Properties=species:S:1:pos:R:3 pbc="T T T"
Pt 20.326 3.400 1.999
Hg 6.775 1.133 0.666
Zn 13.285 2.222 1.307
Zn 0.266 0.044 0.026
```

Properties
- DFT formation energy: -0.085 eV/atom
- Size of the total moment: 0.000 μB per atom
- E: -9.2 eV for the cell shown
- SG: No. 166
- DOS at the Fermi energy: 1.39 states/eV per cell


Density functional theory data (PBE) for a relaxed structure of MgFe2Ni.

Geometry as extended XYZ:
```
4
Lattice="4.567 -0.012 0.170 3.796 2.540 0.170 0.881 0.266 4.499" Properties=species:S:1:pos:R:3 pbc="T T T"
Fe 6.843 2.068 3.774
Mg 4.662 1.409 2.344
Fe 9.176 2.774 4.786
Ni 2.429 0.734 1.192
```

Properties
- DFT formation energy: 0.137 eV/atom
- Size of the total moment: 1.361 μB per atom
- E: -23.8 eV for the cell shown
- SG: No. 8
- DOS at the Fermi energy: 3.39 states/eV per cell


Density functional theory data (PBE) for a relaxed structure of La2TeCl2.

Geometry as extended XYZ:
```
5
Lattice="5.364 0.000 0.000 0.000 5.364 0.000 2.682 2.682 5.105" Properties=species:S:1:pos:R:3 pbc="T T T"
La 5.364 2.682 2.553
Te 0.000 0.000 0.000
La 2.682 5.364 2.553
Cl 5.364 5.364 3.582
Cl 2.682 2.682 1.524
```

Properties
- Size of the total moment: 0.000 μB per atom
- Raw formation energy: -1678 meV/atom
- E: -25.1 eV for the cell shown
- SG: No. 139
- DOS at the Fermi energy: 1.00 states/eV per cell


Density functional theory data (PBE) for a relaxed structure of CdGaP2.

Geometry as extended XYZ:
```
8
Lattice="-0.842 -5.651 -0.959 4.453 -0.035 -3.706 5.245 -4.058 1.812" Properties=species:S:1:pos:R:3 pbc="T T T"
Cd 3.105 -6.276 -0.739
Cd 0.000 0.000 0.000
Ga 5.752 -3.468 -2.113
P 6.967 -8.017 -2.617
Ga 1.806 -2.843 -2.332
P 3.965 -1.903 -2.010
P 5.414 -5.177 -0.495
P 1.366 -4.390 -0.582
```

Properties
- DFT formation energy: -0.049 eV/atom
- Size of the total moment: 0.000 μB per atom
- E: -29.9 eV for the cell shown
- SG: No. 122
- Distance to the lowest polymorph of the same formula: 0 meV/atom
- DOS at the Fermi energy: 5.25 states/eV per cell


> E of number 3 (Zn2HgPt)?

-9.2 eV for the cell shown